Arrangement w

BeIr4 after structural relaxation. Source: Alexandria, functional PBE.

Geometry as POSCAR:
```
BeIr4
1.0
-2.468 2.719 1.845
-0.865 -2.764 2.916
3.170 1.363 2.233
Be Ir
1 4
Direct
0.500 0.500 0.500 Be
0.000 0.000 0.000 Ir
0.500 0.000 0.500 Ir
0.000 0.500 0.500 Ir
0.500 0.500 0.000 Ir
```

=====

Arrangement x

BeIr4 after structural relaxation. Source: Alexandria, functional PBE.

Geometry as POSCAR:
```
BeIr4
1.0
0.991 -4.499 0.150
-1.284 1.430 4.189
-3.435 0.718 -2.988
Be Ir
1 4
Direct
0.000 0.000 0.000 Be
0.000 0.500 0.000 Ir
0.000 0.000 0.500 Ir
0.500 0.500 0.500 Ir
0.500 0.000 0.000 Ir
```

=====

Ranked by calculated energy, most stable first: arrangement w, arrangement x.